[1]
Entry from the Alexandria database: crystalline BaLiCl2 at its relaxed geometry (PBE).

Cell lengths 5.1698, 5.1698, 20.4152 Å; angles 90.00, 90.00, 120.00 degrees
Space group R-3m (No. 166, hexagonal axes)
Asymmetric unit:
Ba (0.0000, 0.0000, 0.0000) (multiplicity 3)
Li (0.0000, 0.0000, 0.5000) (multiplicity 3)
Cl (0.0000, 0.0000, 0.3862) (multiplicity 6)

The value obtained for the mass density is 2.3 g cm⁻³. The formation energy (no corrections) is -1682 meV/atom. As for the density of states at the Fermi level: 4.26 states/eV/cell. For the spin magnetization, the calculation gives 2.2 Bohr magnetons per cell.

[2]
Entry from the Alexandria database: crystalline Tb2PrNd2Ho at its relaxed geometry (PBE).

Cell lengths 7.074, 9.919, 5.704 Å; angles 90.00, 90.00, 90.00 degrees
Space group Pnnm (No. 58)
Asymmetric unit:
Tb (0.249, 0.167, 0.000) (multiplicity 4)
Pr (0.000, 0.500, 0.000) (multiplicity 2)
Nd (0.248, 0.833, 0.000) (multiplicity 4)
Ho (0.000, 0.000, 0.500) (multiplicity 2)

The value obtained for the mass density is 7.6 g cm⁻³. The value obtained for the formation energy is 1.38 kcal/mol of atoms. As for the density of states at the Fermi level: 17.71 states/eV/cell. For the spin magnetization, the calculation gives 0.0 Bohr magnetons per cell.

Q: What is the mass density in the second record?
A: 7.6 g cm⁻³

Repeat the first record exactly.
Entry from the Alexandria database: crystalline BaLiCl2 at its relaxed geometry (PBE).

Cell lengths 5.1698, 5.1698, 20.4152 Å; angles 90.00, 90.00, 120.00 degrees
Space group R-3m (No. 166, hexagonal axes)
Asymmetric unit:
Ba (0.0000, 0.0000, 0.0000) (multiplicity 3)
Li (0.0000, 0.0000, 0.5000) (multiplicity 3)
Cl (0.0000, 0.0000, 0.3862) (multiplicity 6)

The value obtained for the mass density is 2.3 g cm⁻³. The formation energy (no corrections) is -1682 meV/atom. As for the density of states at the Fermi level: 4.26 states/eV/cell. For the spin magnetization, the calculation gives 2.2 Bohr magnetons per cell.

Q: Number 2 is which compound?
A: Tb2PrNd2Ho